A plane-wave DFT calculation with PBE was carried out for crystalline NaLaEuAl at its relaxed geometry.

Lattice parameters (Å, degrees): 5.5737 5.5737 5.5737 60.00 60.00 60.00
Last column: magnetic moment on the atom in μB.
Element x y z (fractional)
Eu 0.7500 0.7500 0.7500  -6.90
Na 0.0000 0.0000 0.0000  -0.01
Al 0.5000 0.5000 0.5000  0.02
La 0.2500 0.2500 0.2500  -0.09

Results
DOS at the Fermi energy in states/eV per atom: 2.801
Final energy in eV per atom: -5.106
Formation enthalpy at 0 K in eV per atom: -0.0406